1.
Tb14NdTm: optimized geometry, PBE.

volume = 1021 Å³/cell
energy of formation from the pure elements = 1 meV/atom
total magnetization = 0.000 μB/f.u.

Structure (CIF):
```
data_Tb14NdTm
_cell_length_a 11.5180
_cell_length_b 7.1539
_cell_length_c 12.3928
_cell_angle_alpha 90.00
_cell_angle_beta 90.00
_cell_angle_gamma 90.00
_symmetry_space_group_name_H-M 'A m m 2'
_symmetry_Int_Tables_number 38
_symmetry_space_group_name_Hall 'A 2 -2'
loop_
_atom_site_label
_atom_site_fract_x
_atom_site_fract_y
_atom_site_fract_z
Tb1 0.0000 0.0000 0.9996
Tb2 0.0000 0.0000 0.5000
Tb3 0.0000 0.2503 0.2498
Tb4 0.2483 0.0000 0.1664
Tb5 0.2494 0.2504 0.4167
Tb6 0.2509 0.0000 0.6669
Tb7 0.5000 0.2496 0.0836
Nd1 0.5000 0.0000 0.3333
Tm1 0.5000 0.0000 0.8336
```


2.
Th2Be4AlSi3: optimized geometry, PBE.

formation energy (no corrections) = -346 meV/atom
volume = 156 Å³/cell
total magnetization = 0.000 μB/f.u.

Structure (CIF):
```
data_Th2Be4AlSi3
_cell_length_a 4.0155
_cell_length_b 4.0155
_cell_length_c 9.6863
_cell_angle_alpha 90.00
_cell_angle_beta 90.00
_cell_angle_gamma 90.00
_symmetry_space_group_name_H-M 'P -4 m 2'
_symmetry_Int_Tables_number 115
_symmetry_space_group_name_Hall 'P -4 -2'
loop_
_atom_site_label
_atom_site_fract_x
_atom_site_fract_y
_atom_site_fract_z
Th1 0.0000 0.5000 0.2436
Be1 0.0000 0.0000 0.0000
Be2 0.0000 0.5000 0.6351
Be3 0.5000 0.5000 0.0000
Al1 0.0000 0.0000 0.5000
Si1 0.0000 0.5000 0.8751
Si2 0.5000 0.5000 0.5000
```


3.
HfZrN: optimized geometry, PBE.

formation energy (no corrections) = -497 meV/atom
energy above the most stable polymorph in this dataset = 711 meV per atom
volume = 106 Å³/cell
total magnetization = 0.000 μB/f.u.

Structure (CIF):
```
data_HfZrN
_cell_length_a 3.1375
_cell_length_b 5.5233
_cell_length_c 6.1194
_cell_angle_alpha 90.00
_cell_angle_beta 90.00
_cell_angle_gamma 90.00
_symmetry_space_group_name_H-M 'I m m 2'
_symmetry_Int_Tables_number 44
_symmetry_space_group_name_Hall 'I 2 -2'
loop_
_atom_site_label
_atom_site_fract_x
_atom_site_fract_y
_atom_site_fract_z
Hf1 0.0000 0.0000 0.0000
Zr1 0.0000 0.0000 0.4846
N1 0.0000 0.5000 0.7306
```


4.
LiAu: optimized geometry, PBE.

volume = 69 Å³/cell
energy of formation from the pure elements = -230 meV/atom
total magnetization = 0.000 μB/f.u.

Structure (CIF):
```
data_LiAu
_cell_length_a 2.9296
_cell_length_b 2.9296
_cell_length_c 9.3502
_cell_angle_alpha 90.00
_cell_angle_beta 90.00
_cell_angle_gamma 120.00
_symmetry_space_group_name_H-M 'P -3 m 1'
_symmetry_Int_Tables_number 164
_symmetry_space_group_name_Hall '-P 3 2"'
loop_
_atom_site_label
_atom_site_fract_x
_atom_site_fract_y
_atom_site_fract_z
Li1 0.3333 0.6667 0.1415
Au1 0.3333 0.6667 0.6369
```


5.
TmPd6Pt4: optimized geometry, PBE.

volume = 374 Å³/cell
energy of formation from the pure elements = -243 meV/atom
total magnetization = 0.000 μB/f.u.

Structure (CIF):
```
data_TmPd6Pt4
_cell_length_a 4.5561
_cell_length_b 5.5352
_cell_length_c 14.8235
_cell_angle_alpha 90.00
_cell_angle_beta 90.00
_cell_angle_gamma 90.00
_symmetry_space_group_name_H-M 'A m m 2'
_symmetry_Int_Tables_number 38
_symmetry_space_group_name_Hall 'A 2 -2'
loop_
_atom_site_label
_atom_site_fract_x
_atom_site_fract_y
_atom_site_fract_z
Tm1 0.0000 0.0000 0.0000
Pd1 0.0000 0.0000 0.4619
Pd2 0.0000 0.2474 0.2972
Pd3 0.5000 0.0000 0.7451
Pd4 0.5000 0.2486 0.0865
Pt1 0.0000 0.0000 0.6394
Pt2 0.5000 0.0000 0.2446
Pt3 0.5000 0.2496 0.4061
```


6.
Pr6PbSe5: optimized geometry, PBE.

formation energy (no corrections) = -1633 meV/atom
volume = 689 Å³/cell
total magnetization = 0.000 μB/f.u.

Structure (CIF):
```
data_Pr6PbSe5
_cell_length_a 7.4889
_cell_length_b 12.9775
_cell_length_c 7.5217
_cell_angle_alpha 90.00
_cell_angle_beta 109.41
_cell_angle_gamma 90.00
_symmetry_space_group_name_H-M 'C 1 2/m 1'
_symmetry_Int_Tables_number 12
_symmetry_space_group_name_Hall '-C 2y'
loop_
_atom_site_label
_atom_site_fract_x
_atom_site_fract_y
_atom_site_fract_z
Pr1 0.2422 0.0000 0.2535
Pr2 0.2437 0.1706 0.7425
Pb1 0.0000 0.5000 0.0000
Se1 0.0000 0.0000 0.5000
Se2 0.0000 0.1680 0.0000
Se3 0.0000 0.3377 0.5000
```


7.
DyAlGe2: optimized geometry, PBE.

volume = 246 Å³/cell
energy of formation from the pure elements = -328 meV/atom
total magnetization = 0.000 μB/f.u.

Structure (CIF):
```
data_DyAlGe2
_cell_length_a 4.4117
_cell_length_b 4.4117
_cell_length_c 14.5693
_cell_angle_alpha 90.00
_cell_angle_beta 90.00
_cell_angle_gamma 120.00
_symmetry_space_group_name_H-M 'R -3 m'
_symmetry_Int_Tables_number 166
_symmetry_space_group_name_Hall '-R 3 2"'
loop_
_atom_site_label
_atom_site_fract_x
_atom_site_fract_y
_atom_site_fract_z
Dy1 0.0000 0.0000 0.0000
Al1 0.0000 0.0000 0.5000
Ge1 0.0000 0.0000 0.2209
```


8.
Cu3SeS: optimized geometry, PBE.

formation energy (no corrections) = 187 meV/atom
energy above the most stable polymorph in this dataset = 301 meV per atom
volume = 86 Å³/cell
total magnetization = 0.000 μB/f.u.

Structure (CIF):
```
data_Cu3SeS
_cell_length_a 4.4086
_cell_length_b 4.4086
_cell_length_c 4.4086
_cell_angle_alpha 90.00
_cell_angle_beta 90.00
_cell_angle_gamma 90.00
_symmetry_space_group_name_H-M 'P m -3 m'
_symmetry_Int_Tables_number 221
_symmetry_space_group_name_Hall '-P 4 2 3'
loop_
_atom_site_label
_atom_site_fract_x
_atom_site_fract_y
_atom_site_fract_z
Cu1 0.0000 0.0000 0.5000
Se1 0.5000 0.5000 0.5000
S1 0.0000 0.0000 0.0000
```


9.
CuTc: optimized geometry, PBE.

energy above the most stable polymorph in this dataset = 230 meV per atom
volume = 110 Å³/cell
energy of formation from the pure elements = 323 meV/atom
total magnetization = 0.000 μB/f.u.

Structure (CIF):
```
data_CuTc
_cell_length_a 2.5061
_cell_length_b 10.1591
_cell_length_c 4.3369
_cell_angle_alpha 90.00
_cell_angle_beta 90.00
_cell_angle_gamma 90.00
_symmetry_space_group_name_H-M 'C m c m'
_symmetry_Int_Tables_number 63
_symmetry_space_group_name_Hall '-C 2c 2'
loop_
_atom_site_label
_atom_site_fract_x
_atom_site_fract_y
_atom_site_fract_z
Cu1 0.0000 0.1812 0.2500
Tc1 0.0000 0.4373 0.2500
```


10.
Cs3Sc3TaS8: optimized geometry, PBE.

formation energy (no corrections) = -1549 meV/atom
volume = 1204 Å³/cell
total magnetization = 0.643 μB/f.u.

Structure (CIF):
```
data_Cs3Sc3TaS8
_cell_length_a 7.5343
_cell_length_b 7.5343
_cell_length_c 24.4946
_cell_angle_alpha 90.00
_cell_angle_beta 90.00
_cell_angle_gamma 120.00
_symmetry_space_group_name_H-M 'R -3 m'
_symmetry_Int_Tables_number 166
_symmetry_space_group_name_Hall '-R 3 2"'
loop_
_atom_site_label
_atom_site_fract_x
_atom_site_fract_y
_atom_site_fract_z
Cs1 0.0000 0.5000 0.0000
Sc1 0.0000 0.5000 0.5000
Ta1 0.0000 0.0000 0.5000
S1 0.0000 0.0000 0.2245
S2 0.0120 0.5060 0.2238
```


11.
Ce2TmSnN5: optimized geometry, PBE.

formation energy (no corrections) = -1000 meV/atom
volume = 555 Å³/cell
total magnetization = 0.000 μB/f.u.

Structure (CIF):
```
data_Ce2TmSnN5
_cell_length_a 3.4954
_cell_length_b 14.0285
_cell_length_c 11.3116
_cell_angle_alpha 90.00
_cell_angle_beta 90.00
_cell_angle_gamma 90.00
_symmetry_space_group_name_H-M 'C m c 21'
_symmetry_Int_Tables_number 36
_symmetry_space_group_name_Hall 'C 2c -2'
loop_
_atom_site_label
_atom_site_fract_x
_atom_site_fract_y
_atom_site_fract_z
Ce1 0.0000 0.1307 0.0000
Ce2 0.0000 0.1370 0.4766
Tm1 0.0000 0.2361 0.7490
Sn1 0.0000 0.4962 0.2422
N1 0.0000 0.0734 0.7934
N2 0.0000 0.2754 0.1052
N3 0.0000 0.2837 0.4010
N4 0.0000 0.3787 0.8425
N5 0.0000 0.4716 0.5622
```


12.
BaCaBi: optimized geometry, PBE.

energy above the most stable polymorph in this dataset = 78 meV per atom
volume = 240 Å³/cell
energy of formation from the pure elements = -765 meV/atom
total magnetization = 0.990 μB/f.u.

Structure (CIF):
```
data_BaCaBi
_cell_length_a 5.0793
_cell_length_b 5.0793
_cell_length_c 9.3139
_cell_angle_alpha 90.00
_cell_angle_beta 90.00
_cell_angle_gamma 90.00
_symmetry_space_group_name_H-M 'P 4/n m m'
_symmetry_Int_Tables_number 129
loop_
_symmetry_equiv_pos_as_xyz
'x,y,z'
'-x,-y,-z'
'-y+1/2,x,z'
'y+1/2,-x,-z'
'-x+1/2,-y+1/2,z'
'x+1/2,y+1/2,-z'
'y,-x+1/2,z'
'-y,x+1/2,-z'
'x+1/2,-y,-z'
'-x+1/2,y,z'
'-y,-x,-z'
'y,x,z'
'-x,y+1/2,-z'
'x,-y+1/2,z'
'y+1/2,x+1/2,-z'
'-y+1/2,-x+1/2,z'
loop_
_atom_site_label
_atom_site_fract_x
_atom_site_fract_y
_atom_site_fract_z
Ba1 0.2500 0.2500 0.1460
Ca1 0.2500 0.7500 0.5000
Bi1 0.2500 0.2500 0.7398
```


13.
Rb2UFeS5: optimized geometry, PBE.

formation energy (no corrections) = -1032 meV/atom
volume = 1072 Å³/cell
total magnetization = 4.264 μB/f.u.

Structure (CIF):
```
data_Rb2UFeS5
_cell_length_a 4.0618
_cell_length_b 19.0364
_cell_length_c 13.8582
_cell_angle_alpha 90.00
_cell_angle_beta 90.00
_cell_angle_gamma 90.00
_symmetry_space_group_name_H-M 'C m c 21'
_symmetry_Int_Tables_number 36
_symmetry_space_group_name_Hall 'C 2c -2'
loop_
_atom_site_label
_atom_site_fract_x
_atom_site_fract_y
_atom_site_fract_z
Rb1 0.0000 0.1200 0.0000
Rb2 0.0000 0.1218 0.3591
U1 0.0000 0.1979 0.6675
Fe1 0.0000 0.4277 0.2519
S1 0.0000 0.0613 0.6710
S2 0.0000 0.3035 0.0460
S3 0.0000 0.3083 0.2921
S4 0.0000 0.3259 0.6785
S5 0.0000 0.4867 0.3822
```


14.
TlCrPb2: optimized geometry, PBE.

energy above the most stable polymorph in this dataset = 111 meV per atom
volume = 107 Å³/cell
energy of formation from the pure elements = 402 meV/atom
total magnetization = 4.323 μB/f.u.

Structure (CIF):
```
data_TlCrPb2
_cell_length_a 4.8470
_cell_length_b 4.8470
_cell_length_c 4.5750
_cell_angle_alpha 90.00
_cell_angle_beta 90.00
_cell_angle_gamma 90.00
_symmetry_space_group_name_H-M 'P 4/m m m'
_symmetry_Int_Tables_number 123
_symmetry_space_group_name_Hall '-P 4 2'
loop_
_atom_site_label
_atom_site_fract_x
_atom_site_fract_y
_atom_site_fract_z
Tl1 0.0000 0.0000 0.0000
Cr1 0.5000 0.5000 0.0000
Pb1 0.0000 0.5000 0.5000
```


15.
ReAs2OsSe: optimized geometry, PBE.

formation energy (no corrections) = 1529 meV/atom
energy above the most stable polymorph in this dataset = 17 meV per atom
volume = 108 Å³/cell
total magnetization = 0.926 μB/f.u.

Structure (CIF):
```
data_ReAs2OsSe
_cell_length_a 4.7701
_cell_length_b 4.7701
_cell_length_c 4.7396
_cell_angle_alpha 90.00
_cell_angle_beta 90.00
_cell_angle_gamma 90.00
_symmetry_space_group_name_H-M 'P 4/m m m'
_symmetry_Int_Tables_number 123
_symmetry_space_group_name_Hall '-P 4 2'
loop_
_atom_site_label
_atom_site_fract_x
_atom_site_fract_y
_atom_site_fract_z
Re1 0.0000 0.0000 0.0000
As1 0.0000 0.5000 0.0000
Os1 0.5000 0.5000 0.5000
Se1 0.0000 0.0000 0.5000
```


16.
K2CdAu: optimized geometry, PBE.

volume = 298 Å³/cell
energy of formation from the pure elements = -225 meV/atom
total magnetization = 0.000 μB/f.u.

Structure (CIF):
```
data_K2CdAu
_cell_length_a 6.7459
_cell_length_b 4.8411
_cell_length_c 9.6407
_cell_angle_alpha 90.00
_cell_angle_beta 108.59
_cell_angle_gamma 90.00
_symmetry_space_group_name_H-M 'P 1 21/m 1'
_symmetry_Int_Tables_number 11
_symmetry_space_group_name_Hall '-P 2yb'
loop_
_atom_site_label
_atom_site_fract_x
_atom_site_fract_y
_atom_site_fract_z
K1 0.2024 0.2500 0.4228
K2 0.2647 0.7500 0.0695
Cd1 0.3490 0.7500 0.7244
Au1 0.1681 0.2500 0.7828
```


17.
Fe3BAu: optimized geometry, PBE.

energy above the most stable polymorph in this dataset = 2024 meV per atom
volume = 106 Å³/cell
energy of formation from the pure elements = 2125 meV/atom
total magnetization = 9.514 μB/f.u.

Structure (CIF):
```
data_Fe3BAu
_cell_length_a 4.7335
_cell_length_b 4.7335
_cell_length_c 4.7335
_cell_angle_alpha 90.00
_cell_angle_beta 90.00
_cell_angle_gamma 90.00
_symmetry_space_group_name_H-M 'P m -3 m'
_symmetry_Int_Tables_number 221
_symmetry_space_group_name_Hall '-P 4 2 3'
loop_
_atom_site_label
_atom_site_fract_x
_atom_site_fract_y
_atom_site_fract_z
Fe1 0.0000 0.0000 0.5000
B1 0.5000 0.5000 0.5000
Au1 0.0000 0.0000 0.0000
```


18.
Zr3CI: optimized geometry, PBE.

formation energy (no corrections) = 50 meV/atom
energy above the most stable polymorph in this dataset = 0 meV per atom
volume = 100 Å³/cell
total magnetization = 0.000 μB/f.u.

Structure (CIF):
```
data_Zr3CI
_cell_length_a 4.6435
_cell_length_b 4.6435
_cell_length_c 4.6435
_cell_angle_alpha 90.00
_cell_angle_beta 90.00
_cell_angle_gamma 90.00
_symmetry_space_group_name_H-M 'P m -3 m'
_symmetry_Int_Tables_number 221
_symmetry_space_group_name_Hall '-P 4 2 3'
loop_
_atom_site_label
_atom_site_fract_x
_atom_site_fract_y
_atom_site_fract_z
Zr1 0.0000 0.0000 0.5000
C1 0.0000 0.0000 0.0000
I1 0.5000 0.5000 0.5000
```


19.
Pm3Cu2Ni4: optimized geometry, PBE.

energy above the most stable polymorph in this dataset = 0 meV per atom
volume = 327 Å³/cell
energy of formation from the pure elements = -299 meV/atom
total magnetization = 0.000 μB/f.u.

Structure (CIF):
```
data_Pm3Cu2Ni4
_cell_length_a 9.7351
_cell_length_b 4.1624
_cell_length_c 8.2028
_cell_angle_alpha 90.00
_cell_angle_beta 100.70
_cell_angle_gamma 90.00
_symmetry_space_group_name_H-M 'C 1 2/m 1'
_symmetry_Int_Tables_number 12
_symmetry_space_group_name_Hall '-C 2y'
loop_
_atom_site_label
_atom_site_fract_x
_atom_site_fract_y
_atom_site_fract_z
Pm1 0.0000 0.0000 0.0000
Pm2 0.1210 0.5000 0.3747
Cu1 0.1863 0.5000 0.7754
Ni1 0.0871 0.0000 0.6340
Ni2 0.2349 0.5000 0.0818
```


20.
Zn5CdAu6: optimized geometry, PBE.

volume = 201 Å³/cell
energy of formation from the pure elements = -190 meV/atom
total magnetization = 0.000 μB/f.u.

Structure (CIF):
```
data_Zn5CdAu6
_cell_length_a 4.5233
_cell_length_b 6.4883
_cell_length_c 7.1862
_cell_angle_alpha 90.00
_cell_angle_beta 107.23
_cell_angle_gamma 90.00
_symmetry_space_group_name_H-M 'P 1 2/m 1'
_symmetry_Int_Tables_number 10
_symmetry_space_group_name_Hall '-P 2y'
loop_
_atom_site_label
_atom_site_fract_x
_atom_site_fract_y
_atom_site_fract_z
Zn1 0.0000 0.0000 0.0000
Zn2 0.3336 0.0000 0.6711
Zn3 0.3375 0.5000 0.6776
Cd1 0.0000 0.5000 0.0000
Au1 0.1767 0.2471 0.3503
Au2 0.5000 0.2326 0.0000
```